# PaTlAgTe3 (PBE-GGA, optimized geometry)
data_PaTlAgTe3
_chemical_formula_sum 'Pa2 Tl2 Ag2 Te6'
_cell_length_a 4.396
_cell_length_b 9.558
_cell_length_c 10.216
_cell_angle_alpha 108.07
_cell_angle_beta 90.00
_cell_angle_gamma 90.00
_symmetry_space_group_name_H-M 'P 1'
_symmetry_Int_Tables_number 1
loop_
_symmetry_equiv_pos_as_xyz
'x,y,z'
loop_
_atom_site_label
_atom_site_type_symbol
_atom_site_fract_x
_atom_site_fract_y
_atom_site_fract_z
Te1 Te 0.750 0.450 0.159
Te2 Te 0.250 0.759 0.472
Te3 Te 0.250 0.109 0.877
Te4 Te 0.750 0.241 0.528
Te5 Te 0.750 0.891 0.123
Te6 Te 0.250 0.550 0.841
Pa1 Pa 0.250 0.680 0.161
Pa2 Pa 0.750 0.320 0.839
Ag1 Ag 0.750 0.918 0.407
Ag2 Ag 0.250 0.082 0.593
Tl1 Tl 0.750 0.801 0.753
Tl2 Tl 0.250 0.199 0.247
# * volume: 34.004 A^3/atom
# * raw total energy: -0.33683 Ry/atom
# * E_form (uncorrected): -0.56 eV per atom
# * DOS at the Fermi energy: 10.85 states/eV per cell